(1)
Mg2TiSbH: relaxed, GGA-PBE.

Values from the calculation:
- calculated density (g cm⁻³) = 4.5

a = 4.449 Å, b = 4.449 Å, c = 4.115 Å
α = 90.00°, β = 90.00°, γ = 90.00°
Sites, in units of the cell vectors:
Mg  0.500  0.000  0.000
Mg  0.000  0.500  0.000
Ti  0.000  0.000  0.500
H  0.000  0.000  0.000
Sb  0.500  0.500  0.500

***

(2)
LiCd2Sb: relaxed, GGA-PBE.

Values from the calculation:
- calculated density (g cm⁻³) = 6.4
- uncorrected formation energy (kJ/mol of formula units) = -55

a = 4.905 Å, b = 4.905 Å, c = 6.024 Å
α = 81.64°, β = 81.64°, γ = 40.08°
Sites, in units of the cell vectors:
Sb  0.754  0.754  0.716
Cd  0.248  0.248  0.265
Cd  0.999  0.999  0.024
Li  0.499  0.499  0.496

***

(3)
Mg2Sc2Ag: relaxed, GGA-PBE.

Values from the calculation:
- calculated density (g cm⁻³) = 3.3
- relative energy among the computed polymorphs (eV/atom) = 0.325
- formation energy from the elements (eV/atom) = 0.21

a = 7.273 Å, b = 7.273 Å, c = 4.698 Å
α = 90.00°, β = 90.00°, γ = 90.00°
Sites, in units of the cell vectors:
Sc  0.148  0.352  0.000
Sc  0.352  0.852  0.000
Mg  0.652  0.848  0.500
Mg  0.152  0.652  0.500
Sc  0.648  0.148  0.000
Mg  0.848  0.348  0.500
Ag  0.000  0.000  0.000
Mg  0.348  0.152  0.500
Ag  0.500  0.500  0.000
Sc  0.852  0.648  0.000

***

(4)
Ac6La5Tm2: relaxed, GGA-PBE.

Values from the calculation:
- calculated density (g cm⁻³) = 7.6
- formation energy from the elements (eV/atom) = 0.13

a = 3.774 Å, b = 11.444 Å, c = 24.217 Å
α = 90.00°, β = 90.00°, γ = 90.00°
Sites, in units of the cell vectors:
La  0.500  0.335  0.496
Ac  0.000  0.520  0.386
Ac  0.000  0.854  0.616
La  0.500  0.415  0.748
Tm  0.000  0.665  0.734
La  0.500  0.000  0.500
Ac  0.000  0.020  0.114
La  0.500  0.085  0.248
Ac  0.500  0.665  0.864
Ac  0.000  0.980  0.886
Ac  0.500  0.165  0.636
Tm  0.000  0.835  0.234
Ac  0.500  0.335  0.136
Ac  0.000  0.146  0.384
La  0.500  0.835  0.004
Ac  0.000  0.354  0.884
La  0.500  0.165  0.996
Ac  0.000  0.480  0.614
Ac  0.500  0.835  0.364
Ac  0.000  0.646  0.116
La  0.500  0.915  0.752
La  0.500  0.500  0.000
Tm  0.000  0.335  0.266
Tm  0.000  0.165  0.766
La  0.500  0.665  0.504
La  0.500  0.585  0.252

***

(5)
RbCuSi2Pb: relaxed, GGA-PBE.

Values from the calculation:
- calculated density (g cm⁻³) = 5.3
- uncorrected formation energy (kJ/mol of formula units) = 261

a = 4.779 Å, b = 5.622 Å, c = 4.779 Å
α = 90.00°, β = 90.00°, γ = 90.00°
Sites, in units of the cell vectors:
Rb  0.500  0.500  0.500
Si  0.500  0.000  0.000
Cu  0.000  0.000  0.000
Si  0.000  0.000  0.500
Pb  0.000  0.500  0.000

***

(6)
LaCe3Nd2P6: relaxed, GGA-PBE.

Values from the calculation:
- calculated density (g cm⁻³) = 5.7
- formation energy from the elements (eV/atom) = -1.53

a = 7.177 Å, b = 7.177 Å, c = 7.181 Å
α = 99.59°, β = 99.59°, γ = 120.01°
Sites, in units of the cell vectors:
P  0.751  0.751  0.259
La  0.000  0.000  0.000
P  0.249  0.249  0.741
P  0.577  0.913  0.740
Ce  0.166  0.834  0.500
Ce  0.500  0.500  0.500
P  0.913  0.577  0.740
P  0.087  0.423  0.260
Nd  0.667  0.333  0.000
P  0.423  0.087  0.260
Ce  0.834  0.166  0.500
Nd  0.333  0.667  0.000

***

| no. | total energy (eV per atom) |
| --- | --- |
| 1 | -3.7902 |
| 2 | -2.1098 |
| 3 | -3.5357 |
| 4 | -4.3529 |
| 5 | -3.3826 |
| 6 | -6.9224 |